1.
## Y2Pt2I (GGA-PBE)

Data for a relaxed Y2Pt2I crystal.

Properties
- Density of states at the Fermi level: 0.72 states/eV/atom
- Energy relative to the lowest polymorph listed for this composition: 0.000 eV per atom
- Size of the total moment: 0.000 μB per cell
- Space-group type: No. 127

abc: 8.065 8.065 3.647
angles: 90.00 90.00 90.00
Positions (direct):
1 Y 0.162 0.338 0.000
2 Y 0.338 0.838 0.000
3 Y 0.662 0.162 0.000
4 Y 0.838 0.662 0.000
5 Pt 0.127 0.627 0.500
6 Pt 0.373 0.127 0.500
7 Pt 0.627 0.873 0.500
8 Pt 0.873 0.373 0.500
9 I 0.000 0.000 0.500
10 I 0.500 0.500 0.500

***

2.
## Y7PtI12 (GGA-PBE)

Data for a relaxed Y7PtI12 crystal.

Properties
- Density of states at the Fermi level: 0.16 states/eV/atom
- Size of the total moment: 0.907 μB per cell
- Space-group type: No. 148

abc: 9.780 9.780 9.780
angles: 107.46 107.46 107.46
Positions (direct):
1 Y 0.000 0.000 0.000
2 Y 0.194 0.397 0.468
3 Y 0.397 0.468 0.194
4 Y 0.468 0.194 0.397
5 Y 0.532 0.806 0.603
6 Y 0.603 0.532 0.806
7 Y 0.806 0.603 0.532
8 Pt 0.500 0.500 0.500
9 I 0.030 0.342 0.109
10 I 0.109 0.030 0.342
11 I 0.179 0.724 0.574
12 I 0.276 0.426 0.821
13 I 0.342 0.109 0.030
14 I 0.426 0.821 0.276
15 I 0.574 0.179 0.724
16 I 0.658 0.891 0.970
17 I 0.724 0.574 0.179
18 I 0.821 0.276 0.426
19 I 0.891 0.970 0.658
20 I 0.970 0.658 0.891

***

3.
## YPt2I (GGA-PBE)

Data for a relaxed YPt2I crystal.

Properties
- Density of states at the Fermi level: 0.38 states/eV/atom
- Energy relative to the lowest polymorph listed for this composition: 0.211 eV per atom
- Size of the total moment: 0.000 μB per cell
- Space-group type: No. 122

abc: 7.998 7.998 7.998
angles: 136.18 136.18 63.70
Positions (direct):
1 Y 0.000 0.000 0.000
2 Y 0.750 0.250 0.500
3 Pt 0.144 0.625 0.019
4 Pt 0.375 0.394 0.519
5 Pt 0.606 0.125 0.981
6 Pt 0.875 0.856 0.481
7 I 0.250 0.750 0.500
8 I 0.500 0.500 0.000

***

4.
## YPt3I (GGA-PBE)

Data for a relaxed YPt3I crystal.

Properties
- Density of states at the Fermi level: 0.16 states/eV/atom
- Energy relative to the lowest polymorph listed for this composition: 0.484 eV per atom
- Size of the total moment: 0.000 μB per cell
- Space-group type: No. 221

abc: 5.187 5.187 5.187
angles: 90.00 90.00 90.00
Positions (direct):
1 Y 0.000 0.000 0.000
2 Pt 0.000 0.000 0.500
3 Pt 0.000 0.500 0.000
4 Pt 0.500 0.000 0.000
5 I 0.500 0.500 0.500

***

5.
## Y6PtI10 (GGA-PBE)

Data for a relaxed Y6PtI10 crystal.

Properties
- Size of the total moment: 0.000 μB per cell
- Space-group type: No. 2

abc: 7.744 9.730 9.769
angles: 106.89 96.68 104.30
Positions (direct):
1 Y 0.033 0.213 0.414
2 Y 0.117 0.542 0.258
3 Y 0.348 0.624 0.665
4 Y 0.652 0.376 0.335
5 Y 0.883 0.458 0.742
6 Y 0.967 0.787 0.586
7 Pt 0.000 0.500 0.500
8 I 0.087 0.874 0.320
9 I 0.228 0.244 0.154
10 I 0.256 0.586 0.962
11 I 0.347 0.950 0.773
12 I 0.455 0.315 0.593
13 I 0.545 0.685 0.407
14 I 0.653 0.050 0.227
15 I 0.744 0.414 0.038
16 I 0.772 0.756 0.846
17 I 0.913 0.126 0.680

***

6.
## Y4PtI5 (GGA-PBE)

Data for a relaxed Y4PtI5 crystal.

Properties
- Density of states at the Fermi level: 0.46 states/eV/atom
- Size of the total moment: 0.000 μB per cell
- Space-group type: No. 12

abc: 9.994 9.994 8.939
angles: 102.24 102.24 24.11
Positions (direct):
1 Y 0.001 0.001 0.206
2 Y 0.356 0.356 0.925
3 Y 0.644 0.644 0.075
4 Y 0.999 0.999 0.794
5 Pt 0.500 0.500 0.000
6 I 0.169 0.169 0.342
7 I 0.177 0.177 0.833
8 I 0.500 0.500 0.500
9 I 0.823 0.823 0.167
10 I 0.831 0.831 0.658

***

7.
## Y2ZnPtI (GGA-PBE)

Data for a relaxed Y2ZnPtI crystal.

Properties
- Density of states at the Fermi level: 0.69 states/eV/atom
- Size of the total moment: 0.000 μB per cell
- Space-group type: No. 123

abc: 5.469 5.469 4.891
angles: 90.00 90.00 90.00
Positions (direct):
1 Y 0.000 0.500 0.000
2 Y 0.500 0.000 0.000
3 Zn 0.000 0.000 0.500
4 Pt 0.000 0.000 0.000
5 I 0.500 0.500 0.500

***

8.
## YZrPt2I (GGA-PBE)

Data for a relaxed YZrPt2I crystal.

Properties
- Density of states at the Fermi level: 1.26 states/eV/atom
- Size of the total moment: 0.825 μB per cell
- Space-group type: No. 123

abc: 5.090 5.090 5.804
angles: 90.00 90.00 90.00
Positions (direct):
1 Y 0.000 0.000 0.000
2 Zr 0.000 0.000 0.500
3 Pt 0.000 0.500 0.000
4 Pt 0.500 0.000 0.000
5 I 0.500 0.500 0.500

***

9.
## ZnPtI6 (GGA-PBE)

Data for a relaxed ZnPtI6 crystal.

Properties
- Size of the total moment: 0.000 μB per cell
- Space-group type: No. 12

abc: 7.451 7.451 7.809
angles: 99.00 99.00 115.69
Positions (direct):
1 Zn 0.000 0.000 0.000
2 Pt 0.000 0.000 0.500
3 I 0.102 0.813 0.724
4 I 0.187 0.898 0.276
5 I 0.406 0.406 0.123
6 I 0.594 0.594 0.877
7 I 0.813 0.102 0.724
8 I 0.898 0.187 0.276

***

10.
## ZnPtI5 (GGA-PBE)

Data for a relaxed ZnPtI5 crystal.

Properties
- Density of states at the Fermi level: 0.02 states/eV/atom
- Size of the total moment: 0.000 μB per cell
- Space-group type: No. 15

abc: 7.351 7.351 10.651
angles: 106.60 106.60 86.80
Positions (direct):
1 Zn 0.037 0.963 0.750
2 Zn 0.963 0.037 0.250
3 Pt 0.000 0.500 0.000
4 Pt 0.500 0.000 0.500
5 I 0.159 0.640 0.848
6 I 0.219 0.245 0.487
7 I 0.240 0.760 0.250
8 I 0.245 0.219 0.987
9 I 0.360 0.841 0.652
10 I 0.640 0.159 0.348
11 I 0.755 0.781 0.013
12 I 0.760 0.240 0.750
13 I 0.781 0.755 0.513
14 I 0.841 0.360 0.152

***

11.
## ZnPtI2 (GGA-PBE)

Data for a relaxed ZnPtI2 crystal.

Properties
- Density of states at the Fermi level: 0.00 states/eV/atom
- Energy relative to the lowest polymorph listed for this composition: 0.000 eV per atom
- Size of the total moment: 0.000 μB per cell
- Space-group type: No. 122

abc: 7.683 7.683 7.683
angles: 132.15 132.15 69.99
Positions (direct):
1 Zn 0.000 0.000 0.000
2 Zn 0.750 0.250 0.500
3 Pt 0.250 0.750 0.500
4 Pt 0.500 0.500 0.000
5 I 0.131 0.625 0.006
6 I 0.375 0.381 0.506
7 I 0.619 0.125 0.994
8 I 0.875 0.869 0.494

***

12.
## Zn3PtI (GGA-PBE)

Data for a relaxed Zn3PtI crystal.

Properties
- Density of states at the Fermi level: 0.35 states/eV/atom
- Energy relative to the lowest polymorph listed for this composition: 0.000 eV per atom
- Size of the total moment: 0.000 μB per cell
- Space-group type: No. 221

abc: 4.960 4.960 4.960
angles: 90.00 90.00 90.00
Positions (direct):
1 Zn 0.000 0.000 0.500
2 Zn 0.000 0.500 0.000
3 Zn 0.500 0.000 0.000
4 Pt 0.000 0.000 0.000
5 I 0.500 0.500 0.500

***

13.
## ZnPtI2 (GGA-PBE)

Data for a relaxed ZnPtI2 crystal.

Properties
- Density of states at the Fermi level: 1.02 states/eV/atom
- Energy relative to the lowest polymorph listed for this composition: 0.495 eV per atom
- Size of the total moment: 0.000 μB per cell
- Space-group type: No. 225

abc: 5.142 5.142 5.142
angles: 60.00 60.00 60.00
Positions (direct):
1 Zn 0.000 0.000 0.000
2 Pt 0.500 0.500 0.500
3 I 0.250 0.250 0.250
4 I 0.750 0.750 0.750

***

Number 1: formation energy from raw total energies -1.004 eV/atom. Number 2: formation energy from raw total energies -1.292 eV/atom. Number 3: formation energy from raw total energies -0.094 eV/atom. Number 4: formation energy from raw total energies 0.880 eV/atom. Number 5: formation energy from raw total energies -1.306 eV/atom. Number 6: formation energy from raw total energies -1.236 eV/atom. Number 7: formation energy from raw total energies -0.572 eV/atom. Number 8: formation energy from raw total energies 0.937 eV/atom. Number 9: formation energy from raw total energies -0.187 eV/atom. Number 10: formation energy from raw total energies -0.253 eV/atom. Number 11: formation energy from raw total energies 0.128 eV/atom. Number 12: formation energy from raw total energies -0.098 eV/atom. Number 13: formation energy from raw total energies 0.623 eV/atom.